1.
# PBE GaHSCl2, optimized geometry
data_GaHSCl2
_chemical_formula_sum 'Ga1 H1 S1 Cl2'
_cell_length_a 4.916
_cell_length_b 4.916
_cell_length_c 4.709
_cell_angle_alpha 90.00
_cell_angle_beta 90.00
_cell_angle_gamma 90.00
_space_group_name_H-M_alt 'P 4/m m m'
_space_group_IT_number 123
_space_group_name_Hall '-P 4 2'
loop_
_atom_site_label
_atom_site_type_symbol
_atom_site_fract_x
_atom_site_fract_y
_atom_site_fract_z
_atom_site_occupancy
Ga1 Ga 0.000 0.000 0.000 1
H1 H 0.500 0.500 0.500 1
S1 S 0.000 0.000 0.500 1
Cl1 Cl 0.000 0.500 0.000 1
# Distance to the lowest polymorph of the same formula = 69 meV/atom

=====

2.
# PBE KCdOs2, optimized geometry
data_KCdOs2
_chemical_formula_sum 'K1 Cd1 Os2'
_cell_length_a 2.715
_cell_length_b 5.095
_cell_length_c 6.456
_cell_angle_alpha 90.00
_cell_angle_beta 95.01
_cell_angle_gamma 90.00
_space_group_name_H-M_alt 'P 1 2/m 1'
_space_group_IT_number 10
loop_
_space_group_symop_operation_xyz
'x,y,z'
'-x,-y,-z'
'-x,y,-z'
'x,-y,z'
loop_
_atom_site_label
_atom_site_type_symbol
_atom_site_fract_x
_atom_site_fract_y
_atom_site_fract_z
_atom_site_occupancy
K1 K 0.000 0.000 0.000 1
Cd1 Cd 0.500 0.000 0.500 1
Os1 Os 0.273 0.500 0.665 1
# Formation energy = 1.12 eV/atom

=====

3.
# PBE SrPm2Tl9, optimized geometry
data_SrPm2Tl9
_chemical_formula_sum 'Sr1 Pm2 Tl9'
_cell_length_a 4.870
_cell_length_b 4.870
_cell_length_c 14.641
_cell_angle_alpha 90.00
_cell_angle_beta 90.00
_cell_angle_gamma 90.00
_space_group_name_H-M_alt 'P 4/m m m'
_space_group_IT_number 123
_space_group_name_Hall '-P 4 2'
loop_
_atom_site_label
_atom_site_type_symbol
_atom_site_fract_x
_atom_site_fract_y
_atom_site_fract_z
_atom_site_occupancy
Sr1 Sr 0.000 0.000 0.000 1
Pm1 Pm 0.000 0.000 0.340 1
Tl1 Tl 0.000 0.500 0.173 1
Tl2 Tl 0.000 0.500 0.500 1
Tl3 Tl 0.500 0.500 0.000 1
Tl4 Tl 0.500 0.500 0.334 1
# Formation energy = -0.29 eV/atom

=====

4.
# PBE KRbTlCd, optimized geometry
data_KRbTlCd
_chemical_formula_sum 'K2 Rb2 Tl2 Cd2'
_cell_length_a 9.336
_cell_length_b 5.422
_cell_length_c 7.763
_cell_angle_alpha 90.00
_cell_angle_beta 113.71
_cell_angle_gamma 90.00
_space_group_name_H-M_alt 'C 1 m 1'
_space_group_IT_number 8
loop_
_space_group_symop_operation_xyz
'x,y,z'
'x,-y,z'
'x+1/2,y+1/2,z'
'x+1/2,-y+1/2,z'
loop_
_atom_site_label
_atom_site_type_symbol
_atom_site_fract_x
_atom_site_fract_y
_atom_site_fract_z
_atom_site_occupancy
K1 K 0.000 0.000 0.000 1
Rb1 Rb 0.301 0.500 0.405 1
Tl1 Tl 0.241 0.000 0.724 1
Cd1 Cd 0.076 0.500 0.728 1
# Formation energy = -0.06 eV/atom
# Distance to the lowest polymorph of the same formula = 0 meV/atom

=====

5.
# PBE LiTaAlIr, optimized geometry
data_LiTaAlIr
_chemical_formula_sum 'Li4 Ta4 Al4 Ir4'
_cell_length_a 6.164
_cell_length_b 6.164
_cell_length_c 6.164
_cell_angle_alpha 90.00
_cell_angle_beta 90.00
_cell_angle_gamma 90.00
_space_group_name_H-M_alt 'F -4 3 m'
_space_group_IT_number 216
_space_group_name_Hall 'F -4 2 3'
loop_
_atom_site_label
_atom_site_type_symbol
_atom_site_fract_x
_atom_site_fract_y
_atom_site_fract_z
_atom_site_occupancy
Li1 Li 0.000 0.000 0.000 1
Ta1 Ta 0.250 0.250 0.250 1
Al1 Al 0.250 0.250 0.750 1
Ir1 Ir 0.000 0.000 0.500 1
# Formation energy = -0.67 eV/atom

=====

6.
# PBE Mg4Hg5Sb, optimized geometry
data_Mg4Hg5Sb
_chemical_formula_sum 'Mg4 Hg5 Sb1'
_cell_length_a 3.392
_cell_length_b 3.392
_cell_length_c 19.497
_cell_angle_alpha 90.00
_cell_angle_beta 90.00
_cell_angle_gamma 90.00
_space_group_name_H-M_alt 'P 4/m m m'
_space_group_IT_number 123
_space_group_name_Hall '-P 4 2'
loop_
_atom_site_label
_atom_site_type_symbol
_atom_site_fract_x
_atom_site_fract_y
_atom_site_fract_z
_atom_site_occupancy
Mg1 Mg 0.000 0.000 0.093 1
Mg2 Mg 0.000 0.000 0.285 1
Hg1 Hg 0.500 0.500 0.000 1
Hg2 Hg 0.500 0.500 0.190 1
Hg3 Hg 0.500 0.500 0.380 1
Sb1 Sb 0.000 0.000 0.500 1
# ΔE_f (raw) = -143 meV per atom

=====

These records have calculated total energy values of -0.1898, -0.3673, -0.2201, -0.1030, -0.5341, -0.0988 Ry per atom, in the order they appear.